# 1
ZnAs2Pt | PBE | optimized geometry

The density of states at the Fermi level is 0.352 states/eV per atom. The magnetization comes out at 0.00 μB per cell. The formation energy from the elements is 0.03 eV/atom. The calculation puts the electronic total energy at -4.128 eV per atom. For the volume, the calculation gives 69 Å³ per cell. As for the symmetry: Cmmm.

abc: 4.5120 4.5120 3.5383
angles: 90.00 90.00 107.15
With the nearest neighbours (Å) after each atom.
Fractional positions:
As 0.0000 0.0000 0.0000  2 As 2.68, 4 Pt 2.87, 4 Zn 2.87
As 0.5000 0.5000 0.0000  2 As 2.68, 4 Zn 2.87, 4 Pt 2.87
Pt 0.5000 0.0000 0.5000  2 Zn 2.68, 8 As 2.87
Zn 0.0000 0.5000 0.5000  2 Pt 2.68, 8 As 2.87

---

# 2
ZrMo | PBE | optimized geometry

The density of states at the Fermi level is 1.428 states/eV per atom. The magnetization comes out at 0.00 μB per cell. The formation energy from the elements is 0.36 eV/atom. The calculation puts the electronic total energy at -9.326 eV per atom. For the volume, the calculation gives 77 Å³ per cell. The value obtained for the polymorph energy (0 for the lowest one) is 406 meV per atom. As for the symmetry: P6_3/mmc.

abc: 3.1951 3.1951 8.7319
angles: 90.00 90.00 120.00
With the nearest neighbours (Å) after each atom.
Fractional positions:
Mo 0.3333 0.6667 0.2500  6 Zr 2.86, 6 Mo 3.20
Mo 0.6667 0.3333 0.7500  6 Zr 2.86, 6 Mo 3.20
Zr 0.0000 0.0000 0.0000  6 Mo 2.86, 6 Zr 3.20
Zr 0.0000 0.0000 0.5000  6 Mo 2.86, 6 Zr 3.20

---

# 3
LaAg2SeO | PBE | optimized geometry

The density of states at the Fermi level is 0.497 states/eV per atom. The magnetization comes out at 0.00 μB per cell. The calculation puts the electronic total energy at -3.859 eV per atom. The calculation puts the uncorrected formation energy at -0.044 eV/atom. For the volume, the calculation gives 112 Å³ per cell. As for the symmetry: P4/mmm.

abc: 5.0674 4.3724 5.0674
angles: 90.00 90.00 90.00
With the nearest neighbours (Å) after each atom.
Fractional positions:
O 0.0000 0.5000 0.0000  2 Se 2.19
Se 0.0000 0.0000 0.0000  2 O 2.19
Ag 0.0000 0.0000 0.5000  2 Se 2.53
Ag 0.5000 0.0000 0.0000  2 Se 2.53
La 0.5000 0.5000 0.5000  8 Ag 3.35, 4 O 3.58